# 1
{"formula": "CeSmHoTm2", "functional": "PBE", "state": "optimized geometry", "total_magnetization_mub_per_cell": 2.846, "sg": "No. 51", "crystal_system": "orthorhombic", "final_energy_ev_per_cell": -45.3, "formation_energy_ev_per_atom": 0.30, "cell": [[7.251, 0.000, 0.000], [0.000, 7.533, 1.377], [0.000, -1.036, 5.670]], "species": ["Ce", "Ce", "Sm", "Sm", "Tm", "Tm", "Tm", "Tm", "Ho", "Ho"], "fractional_positions": [[0.000, 0.000, 0.000], [0.000, 0.000, 0.500], [0.839, 0.500, 0.250], [0.161, 0.500, 0.750], [0.325, 0.291, 0.250], [0.675, 0.291, 0.750], [0.325, 0.709, 0.250], [0.675, 0.709, 0.750], [0.616, 0.000, 0.250], [0.384, 0.000, 0.750]]}

***

# 2
{"formula": "CeSm3Ho6Tm2", "functional": "PBE", "state": "optimized geometry", "total_magnetization_mub_per_cell": 1.108, "sg": "No. 12", "crystal_system": "monoclinic", "final_energy_ev_per_cell": -56.1, "formation_energy_ev_per_atom": 0.04, "cell": [[-2.789, 5.322, 1.270], [-2.608, -5.305, 1.666], [7.318, 0.466, 9.167]], "species": ["Ho", "Ho", "Ho", "Ho", "Ho", "Ho", "Tm", "Tm", "Ce", "Sm", "Sm", "Sm"], "fractional_positions": [[0.586, 0.917, 0.753], [0.917, 0.586, 0.753], [0.249, 0.249, 0.753], [0.751, 0.751, 0.247], [0.414, 0.083, 0.247], [0.083, 0.414, 0.247], [0.333, 0.667, 0.000], [0.667, 0.333, 0.000], [0.000, 0.000, 0.000], [0.500, 0.500, 0.500], [0.168, 0.832, 0.500], [0.832, 0.168, 0.500]]}